The following is a GGA-PBEsol calculation of crystalline Zr2InHg at its relaxed geometry, from Alexandria via LeMat-Bulk.

Cell lengths 3.1557, 4.2808, 6.1450 Å; angles 90.00, 90.00, 90.00 degrees
Last column: nearest neighbours and their distance in Å.
Atoms (fractional coordinates):
Hg: 0.5000 0.5000 0.0000  8 Zr 3.07, 2 In 3.07, 2 Hg 3.16
Zr: 0.0000 0.0000 0.7515  4 Zr 3.05-3.16, 4 Hg 3.07, 4 In 3.08
Zr: 0.0000 0.0000 0.2485  4 Zr 3.05-3.16, 4 Hg 3.07, 4 In 3.08
In: 0.5000 0.5000 0.5000  2 Hg 3.07, 8 Zr 3.08, 2 In 3.16

The value obtained for the total energy is -5.78 eV/atom. The space-group type is No. 47. For the formation energy, the calculation gives -0.350 eV/atom. As for the volume: 83 Å³/cell.



The following is a GGA-PBEsol calculation of crystalline ZrInHg2 at its relaxed geometry, from Alexandria via LeMat-Bulk.

Cell lengths 4.3375, 4.3375, 4.4077 Å; angles 90.00, 90.00, 90.00 degrees
Last column: nearest neighbours and their distance in Å.
Atoms (fractional coordinates):
Hg: 0.0000 0.5000 0.0000  4 Hg 3.07, 4 Zr 3.09, 4 In 3.09
Hg: 0.5000 0.0000 0.0000  4 Hg 3.07, 4 In 3.09, 4 Zr 3.09
Zr: 0.0000 0.0000 0.5000  4 In 3.07, 8 Hg 3.09
In: 0.5000 0.5000 0.5000  4 Zr 3.07, 8 Hg 3.09

The value obtained for the total energy is -3.59 eV/atom. The space-group type is No. 123. For the formation energy, the calculation gives -0.291 eV/atom. As for the volume: 83 Å³/cell.



The following is a GGA-PBEsol calculation of crystalline Zr2InHg at its relaxed geometry, from Alexandria via LeMat-Bulk.

Cell lengths 3.2897, 5.1073, 5.9030 Å; angles 115.65, 106.18, 90.00 degrees
Last column: nearest neighbours and their distance in Å.
Atoms (fractional coordinates):
Hg: 0.4971 0.4974 0.9943  2 In 2.90, 6 Zr 2.99-3.04
Zr: 0.9977 0.9978 0.9954  4 Hg 3.04, 4 Zr 3.05-3.29, 2 In 3.14
Zr: 0.2436 0.7436 0.4873  2 Hg 2.99, 4 In 3.04, 4 Zr 3.05-3.29
In: 0.7615 0.2615 0.5230  2 Hg 2.90, 6 Zr 3.04-3.14

The value obtained for the total energy is -5.70 eV/atom. The space-group type is No. 44. For the formation energy, the calculation gives -0.270 eV/atom. As for the volume: 85 Å³/cell.



The following is a GGA-PBEsol calculation of crystalline Zr2InHg at its relaxed geometry, from Alexandria via LeMat-Bulk.

Cell lengths 3.1387, 5.2814, 5.2814 Å; angles 108.45, 90.00, 90.00 degrees
Last column: nearest neighbours and their distance in Å.
Atoms (fractional coordinates):
Hg: 0.5000 0.0000 0.0000  8 Zr 3.07, 2 In 3.09, 2 Hg 3.14
Zr: 0.0000 0.5000 0.0000  4 Hg 3.07, 4 In 3.07, 4 Zr 3.09-3.14
Zr: 0.0000 0.0000 0.5000  4 In 3.07, 4 Hg 3.07, 4 Zr 3.09-3.14
In: 0.5000 0.5000 0.5000  8 Zr 3.07, 2 Hg 3.09, 2 In 3.14

The value obtained for the total energy is -5.78 eV/atom. The space-group type is No. 65. For the formation energy, the calculation gives -0.351 eV/atom. As for the volume: 83 Å³/cell.



The following is a GGA-PBEsol calculation of crystalline Zr2InHg at its relaxed geometry, from Alexandria via LeMat-Bulk.

Cell lengths 4.2078, 4.2078, 5.6258 Å; angles 111.96, 111.96, 90.00 degrees
Last column: nearest neighbours and their distance in Å.
Atoms (fractional coordinates):
Hg: 0.5000 0.5000 0.0000  8 Zr 2.98-3.18, 4 In 3.18
Zr: 0.0000 0.0000 0.0000  4 Hg 2.98, 4 In 3.18, 4 Zr 3.18
Zr: 0.7500 0.2500 0.5000  4 In 2.98, 4 Zr 3.18, 4 Hg 3.18
In: 0.2500 0.7500 0.5000  8 Zr 2.98-3.18, 4 Hg 3.18

The value obtained for the total energy is -5.69 eV/atom. The space-group type is No. 119. For the formation energy, the calculation gives -0.259 eV/atom. As for the volume: 85 Å³/cell.



The following is a GGA-PBEsol calculation of crystalline HgIr at its relaxed geometry, from Alexandria via LeMat-Bulk.

Cell lengths 2.7760, 5.8977, 7.2749 Å; angles 66.26, 79.00, 76.39 degrees
Last column: nearest neighbours and their distance in Å.
Atoms (fractional coordinates):
Hg: 0.1996 0.9087 0.6922  4 Hg 2.78-2.90, 5 Ir 2.81-2.97
Hg: 0.5000 0.5000 0.5000  2 Hg 2.78, 4 Ir 2.90
Hg: 0.8004 0.0913 0.3078  4 Hg 2.78-2.90, 5 Ir 2.81-2.97
Ir: 0.1506 0.5732 0.1256  6 Ir 2.64-2.78, 4 Hg 2.90-2.92
Ir: 0.5000 0.0000 0.0000  6 Ir 2.66-2.78, 4 Hg 2.81
Ir: 0.8494 0.4268 0.8744  6 Ir 2.64-2.78, 4 Hg 2.90-2.92

The value obtained for the total energy is -4.83 eV/atom. The space-group type is No. 12. For the formation energy, the calculation gives 0.364 eV/atom. As for the volume: 105 Å³/cell.



The following is a GGA-PBEsol calculation of crystalline HgIr2 at its relaxed geometry, from Alexandria via LeMat-Bulk.

Cell lengths 2.8200, 2.8200, 6.8852 Å; angles 90.00, 90.00, 120.00 degrees
Last column: nearest neighbours and their distance in Å.
Atoms (fractional coordinates):
Hg: 0.0000 0.0000 0.0000  6 Hg 2.82, 6 Ir 2.91
Ir: 0.6667 0.3333 0.3508  9 Ir 2.62-2.82, 3 Hg 2.91
Ir: 0.3333 0.6667 0.6492  9 Ir 2.62-2.82, 3 Hg 2.91

The value obtained for the total energy is -6.38 eV/atom. The space-group type is No. 164. For the formation energy, the calculation gives 0.357 eV/atom. As for the volume: 47 Å³/cell.



The following is a GGA-PBEsol calculation of crystalline HgIr at its relaxed geometry, from Alexandria via LeMat-Bulk.

Cell lengths 2.8787, 2.8787, 4.6354 Å; angles 90.00, 90.00, 120.00 degrees
Last column: nearest neighbours and their distance in Å.
Atoms (fractional coordinates):
Ir: 0.6667 0.3333 0.5000  6 Hg 2.85, 6 Ir 2.88
Hg: 0.0000 0.0000 0.0000  6 Ir 2.85, 6 Hg 2.88

The value obtained for the total energy is -4.71 eV/atom. The space-group type is No. 187. For the formation energy, the calculation gives 0.490 eV/atom. As for the volume: 33 Å³/cell.